(1)
# CaLaAs2O8, optimized geometry, DFT PBE
data_CaLaAs2O8
_symmetry_space_group_name_H-M 'I -4'
_symmetry_Int_Tables_number 82
_cell_length_a 5.2006
_cell_length_b 5.2006
_cell_length_c 11.8593
_cell_angle_alpha 90.00
_cell_angle_beta 90.00
_cell_angle_gamma 90.00
loop_
_symmetry_equiv_pos_as_xyz
'x,y,z'
'y,-x,-z'
'-x,-y,z'
'-y,x,-z'
'x+1/2,y+1/2,z+1/2'
'y+1/2,-x+1/2,-z+1/2'
'-x+1/2,-y+1/2,z+1/2'
'-y+1/2,x+1/2,-z+1/2'
loop_
_atom_site_label
_atom_site_fract_x
_atom_site_fract_y
_atom_site_fract_z
Ca1 0.0000 0.0000 0.0000
La1 0.0000 0.5000 0.2500
As1 0.0000 0.0000 0.5000
As2 0.0000 0.5000 0.7500
O1 0.1316 0.7481 0.8277
O2 0.1370 0.2465 0.4229
# - final energy (eV/atom) = -6.699

***

(2)
# Sm8Ni2Pb, optimized geometry, DFT PBE
data_Sm8Ni2Pb
_symmetry_space_group_name_H-M 'C 1 2/m 1'
_symmetry_Int_Tables_number 12
_cell_length_a 8.7002
_cell_length_b 13.6912
_cell_length_c 5.4940
_cell_angle_alpha 90.00
_cell_angle_beta 104.06
_cell_angle_gamma 90.00
loop_
_symmetry_equiv_pos_as_xyz
'x,y,z'
'-x,-y,-z'
'-x,y,-z'
'x,-y,z'
'x+1/2,y+1/2,z'
'-x+1/2,-y+1/2,-z'
'-x+1/2,y+1/2,-z'
'x+1/2,-y+1/2,z'
loop_
_atom_site_label
_atom_site_fract_x
_atom_site_fract_y
_atom_site_fract_z
Sm1 0.0000 0.2493 0.0000
Sm2 0.1012 0.5000 0.8018
Sm3 0.2048 0.1268 0.5695
Ni1 0.0000 0.2997 0.5000
Pb1 0.0000 0.0000 0.0000
# - final energy (eV/atom) = -4.979

***

(3)
# CeBiPd6, optimized geometry, DFT PBE
data_CeBiPd6
_symmetry_space_group_name_H-M 'P 4/m m m'
_symmetry_Int_Tables_number 123
_symmetry_space_group_name_Hall '-P 4 2'
_cell_length_a 4.1545
_cell_length_b 4.1545
_cell_length_c 8.2741
_cell_angle_alpha 90.00
_cell_angle_beta 90.00
_cell_angle_gamma 90.00
loop_
_atom_site_label
_atom_site_fract_x
_atom_site_fract_y
_atom_site_fract_z
Ce1 0.0000 0.0000 0.0000
Bi1 0.0000 0.0000 0.5000
Pd1 0.0000 0.5000 0.2458
Pd2 0.5000 0.5000 0.0000
Pd3 0.5000 0.5000 0.5000
# - E above lowest polymorph (meV/atom) = 0

***

(4)
# Nd3Tl2Ga, optimized geometry, DFT PBE
data_Nd3Tl2Ga
_symmetry_space_group_name_H-M 'P 4/m m m'
_symmetry_Int_Tables_number 123
_symmetry_space_group_name_Hall '-P 4 2'
_cell_length_a 3.7991
_cell_length_b 3.7991
_cell_length_c 11.7799
_cell_angle_alpha 90.00
_cell_angle_beta 90.00
_cell_angle_gamma 90.00
loop_
_atom_site_label
_atom_site_fract_x
_atom_site_fract_y
_atom_site_fract_z
Nd1 0.0000 0.0000 0.0000
Nd2 0.0000 0.0000 0.3475
Tl1 0.5000 0.5000 0.1725
Ga1 0.5000 0.5000 0.5000
# - E above lowest polymorph (meV/atom) = 0

***

(5)
# Tl2Bi2S, optimized geometry, DFT PBE
data_Tl2Bi2S
_symmetry_space_group_name_H-M 'P 4/m b m'
_symmetry_Int_Tables_number 127
_symmetry_space_group_name_Hall '-P 4 2ab'
_cell_length_a 7.6429
_cell_length_b 7.6429
_cell_length_c 5.3960
_cell_angle_alpha 90.00
_cell_angle_beta 90.00
_cell_angle_gamma 90.00
loop_
_atom_site_label
_atom_site_fract_x
_atom_site_fract_y
_atom_site_fract_z
Tl1 0.1689 0.3311 0.0000
Bi1 0.1501 0.6501 0.5000
S1 0.0000 0.0000 0.5000
# - E above lowest polymorph (meV/atom) = 0

***

(6)
# Zn2HgOs, optimized geometry, DFT PBE
data_Zn2HgOs
_symmetry_space_group_name_H-M 'P 4 m m'
_symmetry_Int_Tables_number 99
_cell_length_a 2.8493
_cell_length_b 2.8493
_cell_length_c 8.1175
_cell_angle_alpha 90.00
_cell_angle_beta 90.00
_cell_angle_gamma 90.00
loop_
_symmetry_equiv_pos_as_xyz
'x,y,z'
'-y,x,z'
'-x,-y,z'
'y,-x,z'
'-x,y,z'
'y,x,z'
'x,-y,z'
'-y,-x,z'
loop_
_atom_site_label
_atom_site_fract_x
_atom_site_fract_y
_atom_site_fract_z
Zn1 0.0000 0.0000 0.0000
Zn2 0.5000 0.5000 0.2347
Hg1 0.0000 0.0000 0.5159
Os1 0.5000 0.5000 0.7841
# - final energy (eV/atom) = -3.019

***

What did the sixth record say?
# Zn2HgOs, optimized geometry, DFT PBE
data_Zn2HgOs
_symmetry_space_group_name_H-M 'P 4 m m'
_symmetry_Int_Tables_number 99
_cell_length_a 2.8493
_cell_length_b 2.8493
_cell_length_c 8.1175
_cell_angle_alpha 90.00
_cell_angle_beta 90.00
_cell_angle_gamma 90.00
loop_
_symmetry_equiv_pos_as_xyz
'x,y,z'
'-y,x,z'
'-x,-y,z'
'y,-x,z'
'-x,y,z'
'y,x,z'
'x,-y,z'
'-y,-x,z'
loop_
_atom_site_label
_atom_site_fract_x
_atom_site_fract_y
_atom_site_fract_z
Zn1 0.0000 0.0000 0.0000
Zn2 0.5000 0.5000 0.2347
Hg1 0.0000 0.0000 0.5159
Os1 0.5000 0.5000 0.7841
# - final energy (eV/atom) = -3.019